[1]
Ac3RhAu: optimized geometry, PBE.

Unit cell a=5.715 b=5.715 c=5.715 alpha=90.00 beta=90.00 gamma=90.00
Fractional positions:
Rh 0.000 0.000 0.000
Ac 0.000 0.500 0.000
Ac 0.000 0.000 0.500
Ac 0.500 0.000 0.000
Au 0.500 0.500 0.500

Summary:
calculated formation energy	-0.31	eV per atom
total moment	0.0	μB/f.u.
polymorph energy (0 for the lowest one)	342	meV per atom
final energy	-24.524	eV per cell



[2]
TmCo4P4: optimized geometry, PBE.

Unit cell a=5.665 b=5.665 c=7.238 alpha=90.00 beta=90.00 gamma=90.00
Fractional positions:
Tm 0.000 0.000 0.000
Tm 0.500 0.500 0.500
Co 0.224 0.500 0.881
Co 0.776 0.500 0.881
Co 0.500 0.776 0.119
Co 0.500 0.224 0.119
Co 0.000 0.724 0.381
Co 0.000 0.276 0.381
Co 0.276 0.000 0.619
Co 0.724 0.000 0.619
P 0.500 0.782 0.817
P 0.500 0.218 0.817
P 0.782 0.500 0.183
P 0.218 0.500 0.183
P 0.282 0.000 0.317
P 0.718 0.000 0.317
P 0.000 0.282 0.683
P 0.000 0.718 0.683

Summary:
calculated formation energy	-0.61	eV per atom
total moment	0.0	μB/f.u.
final energy	-120.121	eV per cell



[3]
CsThCu2Cl8: optimized geometry, PBE.

Unit cell a=6.428 b=6.428 c=10.473 alpha=86.82 beta=86.82 gamma=70.51
Fractional positions:
Cs 0.000 0.000 0.500
Th 0.000 0.000 0.000
Cu 0.646 0.646 0.216
Cu 0.354 0.354 0.784
Cl 0.755 0.248 0.811
Cl 0.740 0.740 0.014
Cl 0.677 0.677 0.417
Cl 0.323 0.323 0.583
Cl 0.260 0.260 0.986
Cl 0.248 0.755 0.811
Cl 0.752 0.245 0.189
Cl 0.245 0.752 0.189

Summary:
energy relative to the elements, uncorrected	-1414	meV per atom
total moment	1.1	μB/f.u.
final energy	-48.213	eV per cell



[4]
Rb2Tl3Pb: optimized geometry, PBE.

Unit cell a=6.819 b=6.819 c=6.790 alpha=90.84 beta=119.44 gamma=119.74
Fractional positions:
Rb 0.749 0.374 0.124
Rb 0.251 0.626 0.876
Tl 0.500 0.500 0.500
Tl 0.000 0.000 0.500
Tl 0.500 0.000 0.500
Pb 0.000 0.000 0.000

Summary:
calculated formation energy	-0.08	eV per atom
total moment	0.0	μB/f.u.
final energy	-13.201	eV per cell



[5]
CeDy12Tm7: optimized geometry, PBE.

Unit cell a=9.790 b=9.790 c=9.790 alpha=109.47 beta=109.47 gamma=109.47
Fractional positions:
Ce 0.000 0.000 0.000
Dy 0.477 0.739 0.739
Dy 0.000 0.739 0.261
Dy 0.523 0.261 0.261
Dy 0.000 0.261 0.739
Dy 0.739 0.000 0.261
Dy 0.739 0.477 0.739
Dy 0.261 0.000 0.739
Dy 0.261 0.523 0.261
Dy 0.739 0.739 0.477
Dy 0.261 0.261 0.523
Dy 0.739 0.261 0.000
Dy 0.261 0.739 0.000
Tm 0.500 0.500 0.000
Tm 0.000 0.500 0.500
Tm 0.500 0.000 0.500
Tm 0.500 0.500 0.500
Tm 0.000 0.000 0.500
Tm 0.500 0.000 0.000
Tm 0.000 0.500 0.000

Summary:
calculated formation energy	0.74	eV per atom
total moment	1.4	μB/f.u.
polymorph energy (0 for the lowest one)	628	meV per atom
final energy	-77.669	eV per cell



[6]
Y2Ho2SiIr4: optimized geometry, PBE.

Unit cell a=6.354 b=6.354 c=6.354 alpha=91.26 beta=119.27 gamma=119.27
Fractional positions:
Y 0.000 0.691 0.691
Y 0.000 0.309 0.309
Ho 0.500 0.750 0.250
Ho 0.500 0.250 0.750
Si 0.000 0.000 0.000
Ir 0.000 0.746 0.254
Ir 0.493 0.746 0.746
Ir 0.000 0.254 0.746
Ir 0.507 0.254 0.254

Summary:
energy relative to the elements, uncorrected	-536	meV per atom
total moment	0.0	μB/f.u.
final energy	-67.774	eV per cell



[7]
Na8B11C5: optimized geometry, PBE.

Unit cell a=9.914 b=9.078 c=5.643 alpha=81.03 beta=64.78 gamma=35.47
Fractional positions:
Na 0.502 0.496 0.000
Na 0.251 0.248 0.249
Na 0.502 0.499 0.499
Na 0.251 0.247 0.749
Na 0.002 0.001 0.998
Na 0.748 0.749 0.252
Na 0.001 0.002 0.498
Na 0.751 0.749 0.751
C 0.286 0.964 0.042
C 0.712 0.039 0.456
C 0.787 0.462 0.542
C 0.711 0.039 0.957
C 0.787 0.463 0.041
B 0.224 0.526 0.450
B 0.282 0.969 0.540
B 0.947 0.303 0.718
B 0.555 0.195 0.285
B 0.224 0.525 0.950
B 0.956 0.294 0.210
B 0.555 0.195 0.785
B 0.471 0.779 0.716
B 0.012 0.738 0.307
B 0.472 0.778 0.197
B 0.012 0.738 0.808

Summary:
calculated formation energy	0.13	eV per atom
total moment	0.0	μB/f.u.
polymorph energy (0 for the lowest one)	27	meV per atom
final energy	-127.043	eV per cell



[8]
CaZrAgRu2: optimized geometry, PBE.

Unit cell a=4.951 b=4.727 c=4.951 alpha=90.00 beta=90.00 gamma=90.00
Fractional positions:
Ru 0.000 0.000 0.500
Ru 0.500 0.000 0.000
Ca 0.000 0.500 0.000
Zr 0.500 0.500 0.500
Ag 0.000 0.000 0.000

Summary:
calculated formation energy	1.36	eV per atom
total moment	0.2	μB/f.u.
final energy	-25.157	eV per cell



[9]
CeDyLuCd: optimized geometry, PBE.

Unit cell a=5.422 b=5.422 c=5.422 alpha=60.00 beta=60.00 gamma=60.00
Fractional positions:
Lu 0.250 0.250 0.250
Dy 0.500 0.500 0.500
Ce 0.000 0.000 0.000
Cd 0.750 0.750 0.750

Summary:
calculated formation energy	0.00	eV per atom
total moment	1.5	μB/f.u.
final energy	-15.961	eV per cell



[10]
Te2IrW: optimized geometry, PBE.

Unit cell a=3.185 b=5.413 c=4.597 alpha=90.00 beta=90.00 gamma=90.00
Fractional positions:
Ir 0.000 0.500 0.500
Te 0.000 0.000 0.000
Te 0.500 0.500 0.000
W 0.500 0.000 0.500

Summary:
energy relative to the elements, uncorrected	990	meV per atom
total moment	0.0	μB/f.u.
polymorph energy (0 for the lowest one)	850	meV per atom
final energy	-24.137	eV per cell



[11]
PuUCuTc: optimized geometry, PBE.

Unit cell a=4.583 b=4.583 c=4.583 alpha=60.00 beta=60.00 gamma=60.00
Fractional positions:
U 0.500 0.500 0.500
Tc 0.250 0.250 0.250
Cu 0.000 0.000 0.000
Pu 0.750 0.750 0.750

Summary:
calculated formation energy	-0.05	eV per atom
total moment	4.4	μB/f.u.
polymorph energy (0 for the lowest one)	0	meV per atom
final energy	-40.290	eV per cell



[12]
Ce2Th3Ir2: optimized geometry, PBE.

Unit cell a=3.841 b=6.295 c=9.121 alpha=67.31 beta=77.84 gamma=72.24
Fractional positions:
Ce 0.163 0.473 0.202
Ce 0.837 0.527 0.798
Th 0.500 0.000 0.000
Th 0.376 0.810 0.438
Th 0.624 0.190 0.562
Ir 0.157 0.887 0.799
Ir 0.843 0.113 0.201

Summary:
calculated formation energy	-0.52	eV per atom
total moment	0.9	μB/f.u.
final energy	-55.517	eV per cell



[13]
BaZr2Fe: optimized geometry, PBE.

Unit cell a=5.936 b=5.936 c=3.133 alpha=90.00 beta=90.00 gamma=119.49
Fractional positions:
Ba 0.500 0.000 0.500
Fe 0.000 0.500 0.500
Zr 0.000 0.000 0.000
Zr 0.500 0.500 0.000

Summary:
calculated formation energy	0.90	eV per atom
total moment	2.4	μB/f.u.
polymorph energy (0 for the lowest one)	646	meV per atom
final energy	-23.885	eV per cell



[14]
Ba7H2Pb2: optimized geometry, PBE.

Unit cell a=7.054 b=8.535 c=8.535 alpha=94.39 beta=100.33 gamma=100.33
Fractional positions:
Ba 0.730 0.872 0.534
Ba 0.270 0.466 0.128
Ba 0.270 0.128 0.466
Ba 0.730 0.534 0.872
Ba 0.500 0.000 0.000
Ba 0.224 0.626 0.626
Ba 0.776 0.374 0.374
H 0.440 0.219 0.219
H 0.560 0.781 0.781
Pb 0.000 0.240 0.760
Pb 0.000 0.760 0.240

Summary:
total moment	2.1	μB/f.u.
final energy	-30.291	eV per cell



[15]
CaCo2P: optimized geometry, PBE.

Unit cell a=3.911 b=3.911 c=5.491 alpha=69.17 beta=69.17 gamma=59.99
Fractional positions:
Ca 0.248 0.248 0.255
Co 0.057 0.057 0.831
Co 0.750 0.750 0.751
P 0.446 0.446 0.664

Summary:
calculated formation energy	-0.45	eV per atom
total moment	1.9	μB/f.u.
final energy	-23.410	eV per cell



[16]
PmCdAsRh: optimized geometry, PBE.

Unit cell a=4.900 b=4.900 c=4.900 alpha=60.00 beta=60.00 gamma=60.00
Fractional positions:
As 0.000 0.000 0.000
Cd 0.750 0.750 0.750
Rh 0.500 0.500 0.500
Pm 0.250 0.250 0.250

Summary:
calculated formation energy	-0.40	eV per atom
total moment	0.0	μB/f.u.
final energy	-19.274	eV per cell



[17]
Sm2GdAl: optimized geometry, PBE.

Unit cell a=3.566 b=3.566 c=9.186 alpha=90.00 beta=90.00 gamma=90.00
Fractional positions:
Gd 0.500 0.500 0.000
Al 0.500 0.500 0.500
Sm 0.000 0.000 0.714
Sm 0.000 0.000 0.286

Summary:
calculated formation energy	-0.16	eV per atom
total moment	7.5	μB/f.u.
polymorph energy (0 for the lowest one)	30	meV per atom
final energy	-27.890	eV per cell



[18]
Pr3Er3Th2: optimized geometry, PBE.

Unit cell a=6.218 b=6.250 c=8.838 alpha=61.79 beta=61.91 gamma=70.38
Fractional positions:
Pr 0.132 0.632 0.736
Pr 0.868 0.368 0.264
Pr 0.000 0.000 0.000
Er 0.626 0.126 0.748
Er 0.500 0.500 0.000
Er 0.374 0.874 0.252
Th 0.254 0.254 0.493
Th 0.746 0.746 0.507

Summary:
calculated formation energy	0.05	eV per atom
total moment	0.0	μB/f.u.
polymorph energy (0 for the lowest one)	10	meV per atom
final energy	-42.497	eV per cell



[19]
La2VGa: optimized geometry, PBE.

Unit cell a=8.268 b=8.268 c=6.589 alpha=51.14 beta=51.14 gamma=90.00
Fractional positions:
La 0.600 0.125 0.250
La 0.150 0.625 0.250
La 0.375 0.400 0.750
La 0.875 0.850 0.750
Ga 0.000 0.000 0.000
Ga 0.750 0.250 0.500
V 0.500 0.500 0.000
V 0.250 0.750 0.500

Summary:
calculated formation energy	0.34	eV per atom
total moment	2.4	μB/f.u.
final energy	-41.251	eV per cell



[20]
CaTa2As: optimized geometry, PBE.

Unit cell a=6.312 b=6.312 c=5.052 alpha=66.44 beta=66.44 gamma=26.50
Fractional positions:
As 0.750 0.750 0.750
Ca 0.250 0.250 0.250
Ta 0.043 0.043 0.957
Ta 0.457 0.457 0.543

Summary:
calculated formation energy	0.11	eV per atom
total moment	0.0	μB/f.u.
final energy	-29.919	eV per cell